# NaMnF2 | the Alexandria database | PBE+U | optimized geometry
# Calculated total energy ... -4.770 eV/atom
# Distance to the lowest polymorph of the same formula ... 423 meV/atom
# Crystal system ... cubic
# Magnetization ... 22.19 Bohr magnetons per cell
data_NaMnF2
_chemical_formula_sum 'Na4 Mn4 F8'
_cell_length_a 6.1189
_cell_length_b 6.1189
_cell_length_c 6.1189
_cell_angle_alpha 90.00
_cell_angle_beta 90.00
_cell_angle_gamma 90.00
_space_group_name_H-M_alt 'F m -3 m'
_space_group_IT_number 225
_space_group_name_Hall '-F 4 2 3'
loop_
_atom_site_label
_atom_site_fract_x
_atom_site_fract_y
_atom_site_fract_z
Na1 0.0000 0.0000 0.0000
Mn1 0.0000 0.0000 0.5000
F1 0.2500 0.2500 0.2500